# 1
Entry from the Alexandria database: InHgI2 after structural relaxation (GGA-PBE).

Unit cell a=5.6190 b=8.0313 c=8.5990 alpha=86.45 beta=71.71 gamma=86.08
Element x y z (fractional)
In 0.0000 0.0000 0.0000
In 0.1200 0.5084 0.8597
Hg 0.6818 0.6529 0.0494
Hg 0.6883 0.1163 0.3673
I 0.0731 0.2963 0.6308
I 0.2386 0.7853 0.2641
I 0.3544 0.2871 0.0464
I 0.4601 0.7579 0.7154

Values from the calculation:
- size of the total moment (μB/cell) = 0.0
- energy (eV per atom) = -1.8819
- mass density (g/cm³) = 5.1
- formation energy without anion corrections (eV per atom) = -0.347
- space group = P1 (1)
- N(E_F) (states/eV/atom) = 0.0000

# 2
Entry from the Alexandria database: In2HgI8 after structural relaxation (GGA-PBE).

Unit cell a=8.8630 b=8.8630 c=7.3416 alpha=92.54 beta=92.54 gamma=84.35
Element x y z (fractional)
In 0.2155 0.2155 0.1391
In 0.7845 0.7845 0.8609
Hg 0.0000 0.0000 0.5000
I 0.0758 0.7220 0.7231
I 0.2107 0.2107 0.7632
I 0.2780 0.9242 0.2769
I 0.4131 0.4131 0.2687
I 0.5869 0.5869 0.7313
I 0.7220 0.0758 0.7231
I 0.7893 0.7893 0.2368
I 0.9242 0.2780 0.2769

Values from the calculation:
- size of the total moment (μB/cell) = 0.0
- energy (eV per atom) = -2.0642
- mass density (g/cm³) = 4.2
- formation energy without anion corrections (eV per atom) = -0.412
- space group = C2/m (12)
- N(E_F) (states/eV/atom) = 0.0000

# 3
Entry from the Alexandria database: In3Hg5I12 after structural relaxation (GGA-PBE).

Unit cell a=16.5375 b=16.5375 c=16.5375 alpha=109.47 beta=109.47 gamma=109.47
Element x y z (fractional)
In 0.1250 0.2500 0.3750
In 0.1250 0.3750 0.7500
In 0.2500 0.3750 0.1250
In 0.2500 0.8750 0.6250
In 0.3750 0.1250 0.2500
In 0.3750 0.7500 0.1250
In 0.6250 0.2500 0.8750
In 0.6250 0.8750 0.7500
In 0.7500 0.1250 0.3750
In 0.7500 0.6250 0.8750
In 0.8750 0.6250 0.2500
In 0.8750 0.7500 0.6250
Hg 0.0000 0.0000 0.0000
Hg 0.0000 0.0000 0.5000
Hg 0.0000 0.5000 0.0000
Hg 0.0000 0.5000 0.5000
Hg 0.1250 0.7500 0.8750
Hg 0.1250 0.8750 0.2500
Hg 0.2500 0.1250 0.8750
Hg 0.2500 0.6250 0.3750
Hg 0.3750 0.2500 0.6250
Hg 0.3750 0.6250 0.7500
Hg 0.5000 0.0000 0.0000
Hg 0.5000 0.0000 0.5000
Hg 0.5000 0.5000 0.0000
Hg 0.5000 0.5000 0.5000
Hg 0.6250 0.3750 0.2500
Hg 0.6250 0.7500 0.3750
Hg 0.7500 0.3750 0.6250
Hg 0.7500 0.8750 0.1250
Hg 0.8750 0.1250 0.7500
Hg 0.8750 0.2500 0.1250
I 0.0302 0.2095 0.1209
I 0.0302 0.3208 0.9093
I 0.0885 0.7095 0.6792
I 0.0885 0.8791 0.4093
I 0.0907 0.6209 0.4115
I 0.0907 0.9698 0.6792
I 0.1209 0.0302 0.2095
I 0.1209 0.5907 0.9115
I 0.1792 0.2095 0.5885
I 0.1792 0.4698 0.5907
I 0.2095 0.1209 0.0302
I 0.2095 0.5885 0.1792
I 0.2905 0.3208 0.9115
I 0.2905 0.4698 0.3791
I 0.3208 0.9093 0.0302
I 0.3208 0.9115 0.2905
I 0.3791 0.2905 0.4698
I 0.3791 0.5885 0.9093
I 0.4093 0.0885 0.8791
I 0.4093 0.8208 0.5302
I 0.4115 0.0907 0.6209
I 0.4115 0.8208 0.7905
I 0.4698 0.3791 0.2905
I 0.4698 0.5907 0.1792
I 0.5302 0.4093 0.8208
I 0.5302 0.6209 0.7095
I 0.5885 0.1792 0.2095
I 0.5885 0.9093 0.3791
I 0.5907 0.1792 0.4698
I 0.5907 0.9115 0.1209
I 0.6209 0.4115 0.0907
I 0.6209 0.7095 0.5302
I 0.6792 0.0885 0.7095
I 0.6792 0.0907 0.9698
I 0.7095 0.5302 0.6209
I 0.7095 0.6792 0.0885
I 0.7905 0.4115 0.8208
I 0.7905 0.8791 0.9698
I 0.8208 0.5302 0.4093
I 0.8208 0.7905 0.4115
I 0.8791 0.4093 0.0885
I 0.8791 0.9698 0.7905
I 0.9093 0.0302 0.3208
I 0.9093 0.3791 0.5885
I 0.9115 0.1209 0.5907
I 0.9115 0.2905 0.3208
I 0.9698 0.6792 0.0907
I 0.9698 0.7905 0.8791

Values from the calculation:
- size of the total moment (μB/cell) = 0.0
- energy (eV per atom) = -1.6949
- mass density (g/cm³) = 5.5
- formation energy without anion corrections (eV per atom) = -0.279
- space group = Ia-3d (230)
- N(E_F) (states/eV/atom) = 0.2394

# 4
Entry from the Alexandria database: InHg2I after structural relaxation (GGA-PBE).

Unit cell a=4.7721 b=4.7721 c=12.4003 alpha=90.00 beta=90.00 gamma=90.00
Element x y z (fractional)
In 0.2500 0.2500 0.2085
In 0.7500 0.7500 0.7915
Hg 0.2500 0.2500 0.4600
Hg 0.2500 0.7500 0.0000
Hg 0.7500 0.2500 0.0000
Hg 0.7500 0.7500 0.5400
I 0.2500 0.2500 0.7408
I 0.7500 0.7500 0.2592

Values from the calculation:
- size of the total moment (μB/cell) = 0.0
- energy (eV per atom) = -1.4328
- mass density (g/cm³) = 7.6
- formation energy without anion corrections (eV per atom) = -0.210
- space group = P4/nmm (129)
- N(E_F) (states/eV/atom) = 0.0093

# 5
Entry from the Alexandria database: In2Hg2I3 after structural relaxation (GGA-PBE).

Unit cell a=4.6243 b=7.5153 c=8.2784 alpha=92.43 beta=105.94 gamma=107.67
Element x y z (fractional)
In 0.2288 0.1692 0.2934
In 0.7712 0.8308 0.7066
Hg 0.3189 0.5234 0.1162
Hg 0.6811 0.4766 0.8838
I 0.0822 0.7546 0.4013
I 0.5000 0.0000 0.0000
I 0.9178 0.2454 0.5987

Values from the calculation:
- size of the total moment (μB/cell) = 0.0
- energy (eV per atom) = -1.8418
- mass density (g/cm³) = 6.4
- formation energy without anion corrections (eV per atom) = -0.309
- space group = P-1 (2)
- N(E_F) (states/eV/atom) = 0.2253

# 6
Entry from the Alexandria database: InHg2I after structural relaxation (GGA-PBE).

Unit cell a=9.0803 b=9.0803 c=6.6424 alpha=90.00 beta=90.00 gamma=90.00
Element x y z (fractional)
In 0.0000 0.0000 0.0000
In 0.0000 0.5000 0.2500
In 0.5000 0.0000 0.7500
In 0.5000 0.5000 0.5000
Hg 0.2195 0.2500 0.1250
Hg 0.2500 0.7195 0.3750
Hg 0.2500 0.7805 0.8750
Hg 0.2805 0.2500 0.6250
Hg 0.7195 0.7500 0.6250
Hg 0.7500 0.2195 0.8750
Hg 0.7500 0.2805 0.3750
Hg 0.7805 0.7500 0.1250
I 0.0000 0.0000 0.5000
I 0.0000 0.5000 0.7500
I 0.5000 0.0000 0.2500
I 0.5000 0.5000 0.0000

Values from the calculation:
- size of the total moment (μB/cell) = 0.0
- energy (eV per atom) = -1.3946
- mass density (g/cm³) = 7.8
- formation energy without anion corrections (eV per atom) = -0.172
- space group = I-42d (122)
- N(E_F) (states/eV/atom) = 0.0000

# 7
Entry from the Alexandria database: InHgI after structural relaxation (GGA-PBE).

Unit cell a=7.9252 b=7.9252 c=7.9252 alpha=90.00 beta=90.00 gamma=90.00
Element x y z (fractional)
In 0.0000 0.0000 0.0000
In 0.0000 0.5000 0.5000
In 0.5000 0.0000 0.5000
In 0.5000 0.5000 0.0000
Hg 0.2500 0.2500 0.2500
Hg 0.2500 0.7500 0.7500
Hg 0.7500 0.2500 0.7500
Hg 0.7500 0.7500 0.2500
I 0.2500 0.2500 0.7500
I 0.2500 0.7500 0.2500
I 0.7500 0.2500 0.2500
I 0.7500 0.7500 0.7500

Values from the calculation:
- size of the total moment (μB/cell) = 0.0
- energy (eV per atom) = -1.7902
- mass density (g/cm³) = 5.9
- formation energy without anion corrections (eV per atom) = -0.260
- space group = F-43m (216)
- N(E_F) (states/eV/atom) = 0.0000

# 8
Entry from the Alexandria database: InHgI after structural relaxation (GGA-PBE).

Unit cell a=4.9517 b=4.9517 c=5.4453 alpha=90.00 beta=90.00 gamma=120.00
Element x y z (fractional)
In 0.0000 0.0000 0.0000
Hg 0.3333 0.6667 0.7376
I 0.6667 0.3333 0.3133

Values from the calculation:
- size of the total moment (μB/cell) = 0.0
- energy (eV per atom) = -1.8135
- mass density (g/cm³) = 6.4
- formation energy without anion corrections (eV per atom) = -0.283
- space group = P3m1 (156)

# 9
Entry from the Alexandria database: InHg6I2 after structural relaxation (GGA-PBE).

Unit cell a=4.4896 b=8.1386 c=9.2070 alpha=99.91 beta=101.76 gamma=104.55
Element x y z (fractional)
In 0.0000 0.0000 0.0000
Hg 0.1006 0.4678 0.7131
Hg 0.2120 0.8815 0.5340
Hg 0.2854 0.2709 0.2917
Hg 0.7146 0.7291 0.7083
Hg 0.7880 0.1185 0.4660
Hg 0.8994 0.5322 0.2869
I 0.4412 0.7648 0.1217
I 0.5588 0.2352 0.8783

Values from the calculation:
- size of the total moment (μB/cell) = 0.0
- energy (eV per atom) = -0.9889
- mass density (g/cm³) = 8.4
- formation energy without anion corrections (eV per atom) = -0.139
- space group = P-1 (2)
- N(E_F) (states/eV/atom) = 0.1770

# 10
Entry from the Alexandria database: In3Hg5I3 after structural relaxation (GGA-PBE).

Unit cell a=9.4155 b=9.4155 c=5.9520 alpha=90.00 beta=90.00 gamma=120.00
Element x y z (fractional)
In 0.0000 0.6822 0.0000
In 0.3178 0.3178 0.0000
In 0.6822 0.0000 0.0000
Hg 0.0000 0.3201 0.0000
Hg 0.3201 0.0000 0.0000
Hg 0.3333 0.6667 0.0000
Hg 0.6667 0.3333 0.0000
Hg 0.6799 0.6799 0.0000
I 0.0000 0.5783 0.5000
I 0.4217 0.4217 0.5000
I 0.5783 0.0000 0.5000

Values from the calculation:
- size of the total moment (μB/cell) = 0.0
- energy (eV per atom) = -1.4613
- mass density (g/cm³) = 6.3
- formation energy without anion corrections (eV per atom) = -0.155
- space group = P-62m (189)
- N(E_F) (states/eV/atom) = 0.1686